No. 1
# Ba2ScBr PBEsol relaxed
data_Ba2ScBr
_chemical_formula_sum 'Ba2 Sc1 Br1'
_cell_length_a 6.773
_cell_length_b 6.773
_cell_length_c 6.068
_cell_angle_alpha 108.79
_cell_angle_beta 108.79
_cell_angle_gamma 31.69
_space_group_name_H-M_alt 'P 1'
_space_group_IT_number 1
loop_
_space_group_symop_operation_xyz
'x,y,z'
loop_
_atom_site_label
_atom_site_type_symbol
_atom_site_fract_x
_atom_site_fract_y
_atom_site_fract_z
_atom_site_occupancy
Ba1 Ba 0.000 0.000 0.000 1
Ba2 Ba 0.197 0.197 0.638 1
Sc1 Sc 0.770 0.770 0.195 1
Br1 Br 0.435 0.435 0.470 1
# formation energy from raw total energies = -393 meV per atom
# energy above the lowest structure with this stoichiometry = 91.8 meV per atom
# E = -3.5859 eV per atom
# space-group type = Cm (8)

***

No. 2
# AlCdS2 PBEsol relaxed
data_AlCdS2
_chemical_formula_sum 'Al2 Cd2 S4'
_cell_length_a 6.070
_cell_length_b 6.070
_cell_length_c 6.070
_cell_angle_alpha 114.94
_cell_angle_beta 114.94
_cell_angle_gamma 99.01
_space_group_name_H-M_alt 'P 1'
_space_group_IT_number 1
loop_
_space_group_symop_operation_xyz
'x,y,z'
loop_
_atom_site_label
_atom_site_type_symbol
_atom_site_fract_x
_atom_site_fract_y
_atom_site_fract_z
_atom_site_occupancy
Al1 Al 0.000 0.000 0.000 1
Al2 Al 0.750 0.250 0.500 1
Cd1 Cd 0.250 0.750 0.500 1
Cd2 Cd 0.500 0.500 0.000 1
S1 S 0.066 0.125 0.441 1
S2 S 0.375 0.934 0.059 1
S3 S 0.684 0.625 0.559 1
S4 S 0.875 0.316 0.941 1
# formation energy from raw total energies = -560 meV per atom
# E = -4.0745 eV per atom
# space-group type = I-42d (122)

***

No. 3
# CoIrSeN2 PBEsol relaxed
data_CoIrSeN2
_chemical_formula_sum 'Co1 Ir1 Se1 N2'
_cell_length_a 3.686
_cell_length_b 3.686
_cell_length_c 5.635
_cell_angle_alpha 90.00
_cell_angle_beta 90.00
_cell_angle_gamma 90.00
_space_group_name_H-M_alt 'P 1'
_space_group_IT_number 1
loop_
_space_group_symop_operation_xyz
'x,y,z'
loop_
_atom_site_label
_atom_site_type_symbol
_atom_site_fract_x
_atom_site_fract_y
_atom_site_fract_z
_atom_site_occupancy
Co1 Co 0.000 0.000 0.000 1
Ir1 Ir 0.500 0.500 0.500 1
Se1 Se 0.500 0.500 0.000 1
N1 N 0.000 0.500 0.500 1
N2 N 0.500 0.000 0.500 1
# formation energy from raw total energies = 981 meV per atom
# E = -6.7121 eV per atom
# space-group type = P4/mmm (123)

***

No. 4
# CsNiB2Cl PBEsol relaxed
data_CsNiB2Cl
_chemical_formula_sum 'Cs1 Ni1 B2 Cl1'
_cell_length_a 5.253
_cell_length_b 5.253
_cell_length_c 4.779
_cell_angle_alpha 90.00
_cell_angle_beta 90.00
_cell_angle_gamma 90.00
_space_group_name_H-M_alt 'P 1'
_space_group_IT_number 1
loop_
_space_group_symop_operation_xyz
'x,y,z'
loop_
_atom_site_label
_atom_site_type_symbol
_atom_site_fract_x
_atom_site_fract_y
_atom_site_fract_z
_atom_site_occupancy
Cs1 Cs 0.000 0.000 0.000 1
Ni1 Ni 0.000 0.000 0.500 1
B1 B 0.000 0.500 0.000 1
B2 B 0.500 0.000 0.000 1
Cl1 Cl 0.500 0.500 0.500 1
# formation energy from raw total energies = 2823 meV per atom
# E = -1.8049 eV per atom
# space-group type = P4/mmm (123)

***

No. 5
# BPPdCl2 PBEsol relaxed
data_BPPdCl2
_chemical_formula_sum 'B1 P1 Pd1 Cl2'
_cell_length_a 4.148
_cell_length_b 4.148
_cell_length_c 4.331
_cell_angle_alpha 90.00
_cell_angle_beta 90.00
_cell_angle_gamma 90.00
_space_group_name_H-M_alt 'P 1'
_space_group_IT_number 1
loop_
_space_group_symop_operation_xyz
'x,y,z'
loop_
_atom_site_label
_atom_site_type_symbol
_atom_site_fract_x
_atom_site_fract_y
_atom_site_fract_z
_atom_site_occupancy
B1 B 0.000 0.000 0.000 1
P1 P 0.000 0.000 0.500 1
Pd1 Pd 0.500 0.500 0.500 1
Cl1 Cl 0.000 0.500 0.000 1
Cl2 Cl 0.500 0.000 0.000 1
# formation energy from raw total energies = 692 meV per atom
# E = -3.8648 eV per atom
# space-group type = P4/mmm (123)

***

No. 6
# BeOsW2 PBEsol relaxed
data_BeOsW2
_chemical_formula_sum 'Be1 Os1 W2'
_cell_length_a 2.762
_cell_length_b 4.208
_cell_length_c 4.820
_cell_angle_alpha 90.00
_cell_angle_beta 98.04
_cell_angle_gamma 90.00
_space_group_name_H-M_alt 'P 1'
_space_group_IT_number 1
loop_
_space_group_symop_operation_xyz
'x,y,z'
loop_
_atom_site_label
_atom_site_type_symbol
_atom_site_fract_x
_atom_site_fract_y
_atom_site_fract_z
_atom_site_occupancy
Be1 Be 0.000 0.000 0.000 1
Os1 Os 0.019 0.500 0.288 1
W1 W 0.435 0.500 0.815 1
W2 W 0.612 0.000 0.495 1
# E = -10.8123 eV per atom
# E_form = 0.145 eV per atom
# space-group type = Pm (6)

***

No. 7
# Ti2ReP2 PBEsol relaxed
data_Ti2ReP2
_chemical_formula_sum 'Ti2 Re1 P2'
_cell_length_a 7.299
_cell_length_b 7.299
_cell_length_c 7.299
_cell_angle_alpha 154.44
_cell_angle_beta 154.44
_cell_angle_gamma 36.46
_space_group_name_H-M_alt 'P 1'
_space_group_IT_number 1
loop_
_space_group_symop_operation_xyz
'x,y,z'
loop_
_atom_site_label
_atom_site_type_symbol
_atom_site_fract_x
_atom_site_fract_y
_atom_site_fract_z
_atom_site_occupancy
Ti1 Ti 0.106 0.106 0.000 1
Ti2 Ti 0.894 0.894 0.000 1
Re1 Re 0.500 0.500 0.000 1
P1 P 0.250 0.750 0.500 1
P2 P 0.750 0.250 0.500 1
# energy above the lowest structure with this stoichiometry = 517.9 meV per atom
# E = -8.7223 eV per atom
# E_form = -0.410 eV per atom
# space-group type = I4/mmm (139)

***

No. 8
# CrRhAu PBEsol relaxed
data_CrRhAu
_chemical_formula_sum 'Cr1 Rh1 Au1'
_cell_length_a 5.994
_cell_length_b 5.994
_cell_length_c 5.994
_cell_angle_alpha 153.88
_cell_angle_beta 153.88
_cell_angle_gamma 37.28
_space_group_name_H-M_alt 'P 1'
_space_group_IT_number 1
loop_
_space_group_symop_operation_xyz
'x,y,z'
loop_
_atom_site_label
_atom_site_type_symbol
_atom_site_fract_x
_atom_site_fract_y
_atom_site_fract_z
_atom_site_occupancy
Cr1 Cr 0.000 0.000 0.000 1
Rh1 Rh 0.638 0.638 0.000 1
Au1 Au 0.328 0.328 0.000 1
# energy above the lowest structure with this stoichiometry = 0.0 meV per atom
# E = -7.3469 eV per atom
# E_form = 0.088 eV per atom
# space-group type = I4mm (107)

***

No. 9
# P2PdO2 PBEsol relaxed
data_P2PdO2
_chemical_formula_sum 'P2 Pd1 O2'
_cell_length_a 4.599
_cell_length_b 4.599
_cell_length_c 3.714
_cell_angle_alpha 90.00
_cell_angle_beta 90.00
_cell_angle_gamma 90.00
_space_group_name_H-M_alt 'P 1'
_space_group_IT_number 1
loop_
_space_group_symop_operation_xyz
'x,y,z'
loop_
_atom_site_label
_atom_site_type_symbol
_atom_site_fract_x
_atom_site_fract_y
_atom_site_fract_z
_atom_site_occupancy
P1 P 0.000 0.500 0.000 1
P2 P 0.500 0.000 0.000 1
Pd1 Pd 0.000 0.000 0.000 1
O1 O 0.000 0.000 0.500 1
O2 O 0.500 0.500 0.500 1
# formation energy from raw total energies = 989 meV per atom
# E = -4.6185 eV per atom
# space-group type = P4/mmm (123)

***

No. 10
# BaPbBr2 PBEsol relaxed
data_BaPbBr2
_chemical_formula_sum 'Ba1 Pb1 Br2'
_cell_length_a 4.466
_cell_length_b 4.466
_cell_length_c 6.595
_cell_angle_alpha 90.00
_cell_angle_beta 90.00
_cell_angle_gamma 90.00
_space_group_name_H-M_alt 'P 1'
_space_group_IT_number 1
loop_
_space_group_symop_operation_xyz
'x,y,z'
loop_
_atom_site_label
_atom_site_type_symbol
_atom_site_fract_x
_atom_site_fract_y
_atom_site_fract_z
_atom_site_occupancy
Ba1 Ba 0.000 0.000 0.000 1
Pb1 Pb 0.500 0.500 0.665 1
Br1 Br 0.000 0.000 0.481 1
Br2 Br 0.500 0.500 0.155 1
# formation energy from raw total energies = -1026 meV per atom
# energy above the lowest structure with this stoichiometry = 129.6 meV per atom
# E = -3.4977 eV per atom
# space-group type = P4mm (99)

***

No. 11
# SbTeI2N PBEsol relaxed
data_SbTeI2N
_chemical_formula_sum 'Sb1 Te1 I2 N1'
_cell_length_a 6.045
_cell_length_b 6.045
_cell_length_c 5.900
_cell_angle_alpha 90.00
_cell_angle_beta 90.00
_cell_angle_gamma 90.00
_space_group_name_H-M_alt 'P 1'
_space_group_IT_number 1
loop_
_space_group_symop_operation_xyz
'x,y,z'
loop_
_atom_site_label
_atom_site_type_symbol
_atom_site_fract_x
_atom_site_fract_y
_atom_site_fract_z
_atom_site_occupancy
Sb1 Sb 0.000 0.000 0.000 1
Te1 Te 0.000 0.000 0.500 1
I1 I 0.000 0.500 0.500 1
I2 I 0.500 0.000 0.500 1
N1 N 0.500 0.500 0.000 1
# formation energy from raw total energies = 1390 meV per atom
# energy above the lowest structure with this stoichiometry = 203.3 meV per atom
# E = -2.6387 eV per atom
# space-group type = P4/mmm (123)

***

No. 12
# CaGeBiCl2 PBEsol relaxed
data_CaGeBiCl2
_chemical_formula_sum 'Ca1 Ge1 Bi1 Cl2'
_cell_length_a 4.933
_cell_length_b 4.933
_cell_length_c 6.656
_cell_angle_alpha 90.00
_cell_angle_beta 90.00
_cell_angle_gamma 90.00
_space_group_name_H-M_alt 'P 1'
_space_group_IT_number 1
loop_
_space_group_symop_operation_xyz
'x,y,z'
loop_
_atom_site_label
_atom_site_type_symbol
_atom_site_fract_x
_atom_site_fract_y
_atom_site_fract_z
_atom_site_occupancy
Ca1 Ca 0.000 0.000 0.000 1
Ge1 Ge 0.500 0.500 0.500 1
Bi1 Bi 0.000 0.000 0.500 1
Cl1 Cl 0.000 0.500 0.000 1
Cl2 Cl 0.500 0.000 0.000 1
# formation energy from raw total energies = -565 meV per atom
# E = -3.6393 eV per atom
# space-group type = P4/mmm (123)